A plane-wave DFT calculation with GGA-PBE was carried out for a relaxed YZnAg crystal.

The value obtained for the energy of formation from the pure elements is -335 meV/atom. As for the total energy: -46.38 eV for the cell shown. The total magnetization is 0.0000 μB per atom. The calculation puts the density of states at the Fermi level at 0.717 states/eV per atom.

The space group is C2/m (No. 12) and the conventional cell measures 10.3417, 4.6301 and 7.0162 Å, with angles of 90.00, 130.61 and 90.00 degrees. The asymmetric unit holds Y at (0.0355, 0.0000, 0.2870), Zn at (0.1607, 0.5000, 0.1220) and Ag at (0.1724, 0.5000, 0.7161).

***

A plane-wave DFT calculation with GGA-PBE was carried out for a relaxed Y2Zn15Ag2 crystal.

The value obtained for the energy of formation from the pure elements is -233 meV/atom. As for the total energy: -126.50 eV for the cell shown. The total magnetization is 0.0000 μB per atom. The calculation puts the density of states at the Fermi level at 0.305 states/eV per atom.

The space group is R-3m (No. 166, hexagonal axes) and the conventional cell measures 9.0548, 9.0548 and 13.2135 Å, with angles of 90.00, 90.00 and 120.00 degrees. The asymmetric unit holds Y at (0.0000, 0.0000, 0.1587), Zn at (0.0000, 0.2974, 0.5000), Zn at (0.0000, 0.5000, 0.0000), Zn at (0.0108, 0.5054, 0.6520) and Ag at (0.0000, 0.0000, 0.3931).

***

A plane-wave DFT calculation with GGA-PBE was carried out for a relaxed Y4ZnAg crystal.

The value obtained for the energy of formation from the pure elements is 492 meV/atom. As for the total energy: -108.11 eV for the cell shown. The total magnetization is 0.0000 μB per atom. The value obtained for the energy above the most stable polymorph in this dataset is 405 kJ/mol of formula units. The calculation puts the density of states at the Fermi level at 1.031 states/eV per atom.

The space group is F-43m (No. 216) and the conventional cell measures 8.8316, 8.8316 and 8.8316 Å, with angles of 90.00, 90.00 and 90.00 degrees. The asymmetric unit holds Y at (0.1246, 0.1246, 0.1246), Zn at (0.2500, 0.2500, 0.7500) and Ag at (0.0000, 0.0000, 0.5000).

***

A plane-wave DFT calculation with GGA-PBE was carried out for a relaxed YZn3Ag10 crystal.

The value obtained for the energy of formation from the pure elements is 60 meV/atom. As for the total energy: -303.65 eV for the cell shown. The total magnetization is 0.0000 μB per atom. The calculation puts the density of states at the Fermi level at 0.472 states/eV per atom.

The space group is Fm-3m (No. 225) and the conventional cell measures 12.9907, 12.9907 and 12.9907 Å, with angles of 90.00, 90.00 and 90.00 degrees. The asymmetric unit holds Y at (0.2500, 0.2500, 0.2500), Zn at (0.0000, 0.0000, 0.2311), Ag at (0.0000, 0.1735, 0.3265) and Ag at (0.1189, 0.1189, 0.1189).

***

A plane-wave DFT calculation with GGA-PBE was carried out for a relaxed YZn11Ag crystal.

The value obtained for the energy of formation from the pure elements is -163 meV/atom. As for the total energy: -50.90 eV for the cell shown. The total magnetization is 0.0000 μB per atom. The calculation puts the density of states at the Fermi level at 0.325 states/eV per atom.

The space group is C2/m (No. 12) and the conventional cell measures 5.3168, 12.5815 and 6.8207 Å, with angles of 90.00, 112.62 and 90.00 degrees. The asymmetric unit holds Y at (0.0000, 0.0000, 0.0000), Zn at (0.0000, 0.5000, 0.5000), Zn at (0.1011, 0.3903, 0.2139), Zn at (0.1819, 0.1786, 0.3516), Zn at (0.2500, 0.2500, 0.0000) and Ag at (0.0000, 0.0000, 0.5000).

***

A plane-wave DFT calculation with GGA-PBE was carried out for a relaxed YZn10Ag crystal.

The value obtained for the energy of formation from the pure elements is -106 meV/atom. As for the total energy: -23.33 eV for the cell shown. The total magnetization is 0.0000 μB per atom. The calculation puts the density of states at the Fermi level at 0.315 states/eV per atom.

The space group is Pmmm (No. 47) and the conventional cell measures 4.3383, 5.0942 and 9.1500 Å, with angles of 90.00, 90.00 and 90.00 degrees. The asymmetric unit holds Y at (0.0000, 0.0000, 0.0000), Zn at (0.0000, 0.0000, 0.3451), Zn at (0.0000, 0.5000, 0.1935), Zn at (0.5000, 0.0000, 0.5000), Zn at (0.5000, 0.2422, 0.2398), Zn at (0.5000, 0.5000, 0.0000) and Ag at (0.0000, 0.5000, 0.5000).

***

A plane-wave DFT calculation with GGA-PBE was carried out for a relaxed Y4ZnAg crystal.

The value obtained for the energy of formation from the pure elements is -206 meV/atom. As for the total energy: -31.22 eV for the cell shown. The total magnetization is 0.2369 μB per atom. The value obtained for the energy above the most stable polymorph in this dataset is 0 kJ/mol of formula units. The calculation puts the density of states at the Fermi level at 1.304 states/eV per atom.

The space group is P4/mmm (No. 123) and the conventional cell measures 3.5975, 3.5975 and 12.4425 Å, with angles of 90.00, 90.00 and 90.00 degrees. The asymmetric unit holds Y at (0.0000, 0.0000, 0.1421), Y at (0.5000, 0.5000, 0.3508), Zn at (0.5000, 0.5000, 0.0000) and Ag at (0.0000, 0.0000, 0.5000).

***

A plane-wave DFT calculation with GGA-PBE was carried out for a relaxed Y8ZnAg2 crystal.

The value obtained for the energy of formation from the pure elements is -160 meV/atom. As for the total energy: -120.90 eV for the cell shown. The total magnetization is 0.0000 μB per atom. The calculation puts the density of states at the Fermi level at 0.975 states/eV per atom.

The space group is C2/m (No. 12) and the conventional cell measures 17.8483, 5.2160 and 6.9254 Å, with angles of 90.00, 107.28 and 90.00 degrees. The asymmetric unit holds Y at (0.0284, 0.0000, 0.2844), Y at (0.0930, 0.5000, 0.9556), Y at (0.1668, 0.5000, 0.4771), Y at (0.1973, 0.0000, 0.8127), Zn at (0.0000, 0.5000, 0.5000) and Ag at (0.1828, 0.0000, 0.2188).

***

A plane-wave DFT calculation with GGA-PBE was carried out for a relaxed YZn2Ag crystal.

The value obtained for the energy of formation from the pure elements is 141 meV/atom. As for the total energy: -22.60 eV for the cell shown. The total magnetization is 0.0000 μB per atom. The calculation puts the density of states at the Fermi level at 0.593 states/eV per atom.

The space group is Immm (No. 71) and the conventional cell measures 3.3038, 4.7935 and 11.3366 Å, with angles of 90.00, 90.00 and 90.00 degrees. The asymmetric unit holds Y at (0.0000, 0.0000, 0.0000), Zn at (0.0000, 0.0000, 0.2730) and Ag at (0.0000, 0.0000, 0.5000).

***

A plane-wave DFT calculation with GGA-PBE was carried out for a relaxed YZn8Ag3 crystal.

The value obtained for the energy of formation from the pure elements is -118 meV/atom. As for the total energy: -26.63 eV for the cell shown. The total magnetization is 0.0000 μB per atom. The calculation puts the density of states at the Fermi level at 0.434 states/eV per atom.

The space group is P3m1 (No. 156) and the conventional cell measures 5.1586, 5.1586 and 8.6957 Å, with angles of 90.00, 90.00 and 120.00 degrees. The asymmetric unit holds Y at (0.0000, 0.0000, 0.0000), Zn at (0.1631, 0.3261, 0.6846), Zn at (0.3333, 0.6667, 0.4456), Zn at (0.3333, 0.6667, 0.9386), Zn at (0.5021, 0.0042, 0.1998), Ag at (0.0000, 0.0000, 0.3705), Ag at (0.6667, 0.3333, 0.5042) and Ag at (0.6667, 0.3333, 0.8664).

***

A plane-wave DFT calculation with GGA-PBE was carried out for a relaxed Y2Zn5Ag5 crystal.

The value obtained for the energy of formation from the pure elements is -234 meV/atom. As for the total energy: -36.36 eV for the cell shown. The total magnetization is 0.0000 μB per atom. The calculation puts the density of states at the Fermi level at 0.482 states/eV per atom.

The space group is Pmmm (No. 47) and the conventional cell measures 4.5363, 5.2831 and 9.4475 Å, with angles of 90.00, 90.00 and 90.00 degrees. The asymmetric unit holds Y at (0.0000, 0.0000, 0.0000), Y at (0.0000, 0.5000, 0.5000), Zn at (0.5000, 0.0000, 0.5000), Zn at (0.5000, 0.2499, 0.2542), Ag at (0.0000, 0.0000, 0.3342), Ag at (0.0000, 0.5000, 0.1759) and Ag at (0.5000, 0.5000, 0.0000).

***

A plane-wave DFT calculation with GGA-PBE was carried out for a relaxed YZn2Ag9 crystal.

The value obtained for the energy of formation from the pure elements is -52 meV/atom. As for the total energy: -141.17 eV for the cell shown. The total magnetization is 0.0000 μB per atom. The calculation puts the density of states at the Fermi level at 0.383 states/eV per atom.

The space group is I4_1/amd (No. 141, origin choice 2) and the conventional cell measures 11.2337, 11.2337 and 7.1875 Å, with angles of 90.00, 90.00 and 90.00 degrees. The asymmetric unit holds Y at (0.0000, 0.2500, 0.3750), Zn at (0.0000, 0.0000, 0.0000), Ag at (0.0000, 0.2500, 0.8750) and Ag at (0.1217, 0.0513, 0.6778).